Material: Sr2NiAg2O6
Method: DFT, PBE+U
State: relaxed

Geometry as extended XYZ:
```
11
Lattice="-1.239 -5.758 -1.493 1.293 -4.491 3.883 -4.750 -2.944 2.930" Properties=species:S:1:pos:R:3 pbc="T T T"
O -1.135 -8.712 2.587
O -2.805 -7.105 5.002
O -4.285 -7.846 1.860
O -1.890 -6.087 0.318
O -3.561 -4.480 2.733
O -0.411 -5.347 3.460
Sr -2.947 -9.951 3.733
Sr -1.748 -3.241 1.587
Ag -1.033 -6.726 2.072
Ag -3.663 -6.466 3.248
Ni 0.000 0.000 0.000
```

- raw total energy (eV/cell) = -51.796
- space group = No. 166
- volume (Å³/cell) = 168
- total moment (μB/cell) = 1.7